Record 1
HfAlCdCu, optimized geometry, DFT PBE-GGA; energy relative to the lowest polymorph listed for this composition = 0.0 meV/atom; symmetry = F-43m (216); electronic total energy = -4.550 eV/atom
1.0
0.0000 3.2631 3.2631
3.2631 0.0000 3.2631
3.2631 3.2631 0.0000
Hf Al Cd Cu
1 1 1 1
direct
0.0000 0.0000 0.0000
0.5000 0.5000 0.5000
0.2500 0.2500 0.2500
0.7500 0.7500 0.7500

***

Record 2
AlCdCuHg, optimized geometry, DFT PBE-GGA; energy relative to the lowest polymorph listed for this composition = 0.0 meV/atom; symmetry = F-43m (216); electronic total energy = -1.944 eV/atom
1.0
0.0000 3.3334 3.3334
3.3334 0.0000 3.3334
3.3334 3.3334 0.0000
Al Cd Cu Hg
1 1 1 1
direct
0.0000 0.0000 0.0000
0.5000 0.5000 0.5000
0.2500 0.2500 0.2500
0.7500 0.7500 0.7500

***

Record 3
Li4Al2CdCu, optimized geometry, DFT PBE-GGA; symmetry = P-4m2 (115); electronic total energy = -2.667 eV/atom
1.0
4.3502 0.0000 0.0000
0.0000 4.3502 0.0000
0.0000 0.0000 6.2584
Li Al Cd Cu
4 2 1 1
direct
0.0000 0.0000 0.0000
0.0000 0.5000 0.7339
0.5000 0.0000 0.2661
0.5000 0.5000 0.5000
0.0000 0.5000 0.2794
0.5000 0.0000 0.7206
0.5000 0.5000 0.0000
0.0000 0.0000 0.5000

***

Record 4
Li2Al2Cd2CuPd, optimized geometry, DFT PBE-GGA; symmetry = P-4m2 (115); electronic total energy = -3.062 eV/atom
1.0
4.4230 0.0000 0.0000
0.0000 4.4230 0.0000
0.0000 0.0000 6.2660
Li Al Cd Cu Pd
2 2 2 1 1
direct
0.0000 0.0000 0.0000
0.5000 0.5000 0.5000
0.0000 0.5000 0.7441
0.5000 0.0000 0.2559
0.0000 0.5000 0.2386
0.5000 0.0000 0.7614
0.5000 0.5000 0.0000
0.0000 0.0000 0.5000

***

Record 5
LuAlCdCu, optimized geometry, DFT PBE-GGA; energy relative to the lowest polymorph listed for this composition = 0.0 meV/atom; symmetry = F-43m (216); electronic total energy = -3.434 eV/atom
1.0
0.0000 3.3299 3.3299
3.3299 0.0000 3.3299
3.3299 3.3299 0.0000
Lu Al Cd Cu
1 1 1 1
direct
0.0000 0.0000 0.0000
0.5000 0.5000 0.5000
0.2500 0.2500 0.2500
0.7500 0.7500 0.7500

***

Record 6
LuAlCdCu, optimized geometry, DFT PBE-GGA; energy relative to the lowest polymorph listed for this composition = 112.3 meV/atom; symmetry = F-43m (216); electronic total energy = -3.322 eV/atom
1.0
0.0000 3.3468 3.3468
3.3468 0.0000 3.3468
3.3468 3.3468 0.0000
Lu Al Cd Cu
1 1 1 1
direct
0.0000 0.0000 0.0000
0.2500 0.2500 0.2500
0.7500 0.7500 0.7500
0.5000 0.5000 0.5000

***

no.,V (Å³ per atom)
1,17.37
2,18.52
3,14.80
4,15.32
5,18.46
6,18.74